No. 1
4
Lattice="-2.2702 -3.2390 -2.4150 -1.0980 -1.2318 2.6844 -5.1606 2.7992 1.0969" Properties=species:S:1:pos:R:3 comment="Zr2ScCr PBE optimized geometry" e_form_mev_per_atom=223 crystal_system=monoclinic rho_g_cm3=5.53 dos_ef_per_ev_cell=4.7 pbc="T T T"
Cr -2.6998 -1.2277 -0.2622
Sc -5.8291 -0.4440 1.6285
Zr -0.1914 -0.0413 0.2354
Zr -2.9379 0.8250 1.6553



No. 2
4
Lattice="0.0573 -3.0292 2.9202 -1.4218 0.7913 3.8806 -3.6064 -1.7260 1.3120" Properties=species:S:1:pos:R:3 comment="IrIO2 PBE optimized geometry" crystal_system=cubic rho_g_cm3=11.07 dos_ef_per_ev_cell=4.4 raw_formation_energy_ev_per_fu=4.33 pbc="T T T"
I 0.0000 0.0000 0.0000
Ir -2.4855 -1.9820 4.0564
O -1.2427 -0.9910 2.0282
O -3.7282 -2.9729 6.0846



No. 3
14
Lattice="-2.1281 -3.1977 -0.4706 1.0628 -1.8592 7.8273 -6.6939 4.1751 1.9006" Properties=species:S:1:pos:R:3 comment="TlAs2Pd4 PBE optimized geometry" e_form_mev_per_atom=-270 crystal_system=tetragonal rho_g_cm3=10.16 dos_ef_per_ev_cell=6.0 pbc="T T T"
Tl -1.0641 -1.5989 -0.2353
Tl -2.8156 1.1579 4.8639
As -4.9057 2.7840 3.2669
As -0.7255 -0.4681 6.4609
As -5.1778 0.0930 6.8713
As -2.5814 -0.9748 2.3860
Pd -2.1199 1.2342 1.1998
Pd -3.5112 1.0816 8.5281
Pd -4.7209 0.4767 2.1982
Pd -3.0383 -1.3585 7.0591
Pd -6.1559 1.0668 4.6771
Pd -1.6034 -1.9486 4.5802
Pd -0.1433 -0.3035 2.7100
Pd -5.4878 2.6193 7.0179



No. 4
9
Lattice="2.9571 -5.1219 0.0000 2.9571 5.1219 0.0000 0.0000 0.0000 3.9694" Properties=species:S:1:pos:R:3 comment="Fe2Tc PBE optimized geometry" e_form_mev_per_atom=502 crystal_system=hexagonal rho_g_cm3=8.69 dos_ef_per_ev_cell=11.3 pbc="T T T"
Fe 0.7235 1.2532 0.0000
Fe 1.6860 2.9202 1.9847
Fe 0.7235 -1.2532 0.0000
Fe 4.4672 0.0000 0.0000
Fe 1.6860 -2.9202 1.9847
Fe 2.5423 0.0000 1.9847
Tc 0.0000 0.0000 1.9847
Tc 2.9571 1.7073 0.0000
Tc 2.9571 -1.7073 0.0000